Density functional theory data (GGA-PBE) for crystalline Bi2I3Br at its relaxed geometry.

Computed properties:
**D(E_F)**: 0.080 states/eV per atom
**Space group**: No. 12
**Uncorrected energy**: -32.27 eV for the cell shown

Geometry as POSCAR:
```
Bi2I3Br
1.0
15.633 -2.155 0.000
15.633 2.155 0.000
-1.870 0.000 9.151
Bi I Br
4 6 2
Direct
0.067 0.067 0.178
0.285 0.285 0.508
0.715 0.715 0.492
0.933 0.933 0.822
0.032 0.032 0.836
0.275 0.275 0.196
0.430 0.430 0.573
0.570 0.570 0.427
0.725 0.725 0.804
0.968 0.968 0.164
0.377 0.377 0.905
0.623 0.623 0.095
```


Density functional theory data (GGA-PBE) for crystalline BiIBr2 at its relaxed geometry.

Computed properties:
**D(E_F)**: 0.000 states/eV per atom
**Space group**: No. 1
**Excess energy over the best structure of this formula in the dataset**: 0.019 eV/atom

Geometry as POSCAR:
```
BiIBr2
1.0
4.299 0.000 0.000
1.875 6.527 0.000
2.110 2.907 6.903
Bi I Br
1 1 2
Direct
0.000 0.000 0.000
0.388 0.898 0.321
0.184 0.604 0.986
0.564 0.176 0.715
```


Density functional theory data (GGA-PBE) for crystalline BiIBr at its relaxed geometry.

Computed properties:
**Space group**: No. 11
**Excess energy over the best structure of this formula in the dataset**: 0.000 eV/atom

Geometry as POSCAR:
```
BiIBr
1.0
9.595 0.000 0.000
0.000 6.066 0.000
-1.857 0.000 11.424
Bi I Br
4 4 4
Direct
0.054 0.250 0.172
0.279 0.750 0.866
0.721 0.250 0.134
0.946 0.750 0.828
0.122 0.750 0.134
0.337 0.250 0.922
0.663 0.750 0.078
0.878 0.250 0.866
0.105 0.250 0.401
0.321 0.750 0.649
0.679 0.250 0.351
0.895 0.750 0.599
```


Density functional theory data (GGA-PBE) for crystalline BiIBr2 at its relaxed geometry.

Computed properties:
**D(E_F)**: 0.002 states/eV per atom
**Space group**: No. 225
**Excess energy over the best structure of this formula in the dataset**: 0.636 eV/atom

Geometry as POSCAR:
```
BiIBr2
1.0
0.000 3.876 3.876
3.876 0.000 3.876
3.876 3.876 0.000
Bi I Br
1 1 2
Direct
0.000 0.000 0.000
0.500 0.500 0.500
0.250 0.250 0.250
0.750 0.750 0.750
```


Density functional theory data (GGA-PBE) for crystalline Bi3IBr at its relaxed geometry.

Computed properties:
**D(E_F)**: 0.889 states/eV per atom
**Space group**: No. 221
**Excess energy over the best structure of this formula in the dataset**: 0.000 eV/atom

Geometry as POSCAR:
```
Bi3IBr
1.0
5.815 0.000 0.000
0.000 5.815 0.000
0.000 0.000 5.815
Bi I Br
3 1 1
Direct
0.000 0.000 0.500
0.000 0.500 0.000
0.500 0.000 0.000
0.500 0.500 0.500
0.000 0.000 0.000
```


Density functional theory data (GGA-PBE) for crystalline Bi2IBr at its relaxed geometry.

Computed properties:
**Space group**: No. 12
**Excess energy over the best structure of this formula in the dataset**: 0.000 eV/atom

Geometry as POSCAR:
```
Bi2IBr
1.0
7.766 -2.173 0.000
7.766 2.173 0.000
-2.870 0.000 31.374
Bi I Br
12 6 6
Direct
0.002 0.002 0.167
0.026 0.026 0.071
0.318 0.318 0.497
0.350 0.350 0.256
0.364 0.364 0.159
0.371 0.371 0.594
0.629 0.629 0.406
0.636 0.636 0.841
0.650 0.650 0.744
0.682 0.682 0.503
0.974 0.974 0.929
0.998 0.998 0.833
0.006 0.006 0.574
0.257 0.257 0.377
0.293 0.293 0.761
0.707 0.707 0.239
0.743 0.743 0.623
0.994 0.994 0.426
0.026 0.026 0.720
0.349 0.349 0.907
0.403 0.403 0.045
0.597 0.597 0.955
0.651 0.651 0.093
0.974 0.974 0.280
```


Density functional theory data (GGA-PBE) for crystalline BiIBr2 at its relaxed geometry.

Computed properties:
**D(E_F)**: 0.000 states/eV per atom
**Space group**: No. 9
**Excess energy over the best structure of this formula in the dataset**: 0.000 eV/atom

Geometry as POSCAR:
```
BiIBr2
1.0
4.191 -6.290 0.000
4.191 6.290 0.000
-3.440 0.000 6.725
Bi I Br
2 2 4
Direct
0.089 0.911 0.500
0.911 0.089 0.000
0.138 0.319 0.777
0.319 0.138 0.277
0.004 0.491 0.282
0.491 0.004 0.782
0.718 0.847 0.215
0.847 0.718 0.715
```


Density functional theory data (GGA-PBE) for crystalline BiIBr3 at its relaxed geometry.

Computed properties:
**D(E_F)**: 1.846 states/eV per atom
**Space group**: No. 221
**Excess energy over the best structure of this formula in the dataset**: 0.294 eV/atom

Geometry as POSCAR:
```
BiIBr3
1.0
5.754 0.000 0.000
0.000 5.754 0.000
0.000 0.000 5.754
Bi I Br
1 1 3
Direct
0.000 0.000 0.000
0.500 0.500 0.500
0.000 0.000 0.500
0.000 0.500 0.000
0.500 0.000 0.000
```